## KRe2Te (GGA-PBE)

Data for an optimized crystal structure of KRe2Te. Values from VASP.

Output
Raw formation energy: 1.42 eV per atom
DOS(E_F): 4.2 states/eV/f.u.
Energy: -5.86 eV/atom

```
&SYSTEM
  ibrav = 0, nat = 4, ntyp = 3
/
ATOMIC_SPECIES
K 39.10 K.upf
Re 186.21 Re.upf
Te 127.60 Te.upf
ATOMIC_POSITIONS crystal
K 0.500 0.500 0.750
Re 0.000 0.000 0.089
Re 0.000 0.000 0.411
Te 0.500 0.500 0.250
CELL_PARAMETERS angstrom
-0.881 -1.875 2.566
0.404 -2.707 -1.840
8.176 -0.459 2.471
```

---

## Ho6TmTh3 (GGA-PBE)

Data for an optimized crystal structure of Ho6TmTh3. Values from VASP.

Output
ΔE to the lowest computed polymorph: 0 meV per atom
Energy of formation: 81.6 meV per atom
DOS(E_F): 15.9 states/eV/f.u.
Energy: -5.34 eV/atom

```
&SYSTEM
  ibrav = 0, nat = 20, ntyp = 3
/
ATOMIC_SPECIES
Ho 164.93 Ho.upf
Tm 168.93 Tm.upf
Th 232.04 Th.upf
ATOMIC_POSITIONS crystal
Ho 0.750 0.602 0.709
Ho 0.250 0.398 0.291
Ho 0.750 0.857 0.099
Ho 0.250 0.143 0.901
Ho 0.750 0.386 0.100
Ho 0.250 0.614 0.900
Ho 0.750 0.655 0.309
Ho 0.250 0.345 0.691
Ho 0.750 0.125 0.486
Ho 0.250 0.875 0.514
Ho 0.750 0.885 0.725
Ho 0.250 0.115 0.275
Tm 0.750 0.116 0.697
Tm 0.250 0.884 0.303
Th 0.750 0.389 0.895
Th 0.250 0.611 0.105
Th 0.750 0.619 0.504
Th 0.250 0.381 0.496
Th 0.750 0.124 0.090
Th 0.250 0.876 0.910
CELL_PARAMETERS angstrom
-2.403 2.074 1.471
-3.228 -9.598 8.261
11.562 10.786 3.676
```

---

## Ta2TlPb (GGA-PBE)

Data for an optimized crystal structure of Ta2TlPb. Values from VASP.

Output
ΔE to the lowest computed polymorph: 277 meV per atom
Energy of formation: 635.4 meV per atom
DOS(E_F): 2.4 states/eV/f.u.
Energy: -6.81 eV/atom

```
&SYSTEM
  ibrav = 0, nat = 4, ntyp = 3
/
ATOMIC_SPECIES
Pb 207.20 Pb.upf
Ta 180.95 Ta.upf
Tl 204.38 Tl.upf
ATOMIC_POSITIONS crystal
Pb 0.000 0.500 0.500
Ta 0.000 0.000 0.000
Ta 0.500 0.500 0.000
Tl 0.500 0.000 0.500
CELL_PARAMETERS angstrom
3.409 0.000 0.000
0.000 5.144 0.000
0.000 0.000 4.863
```

---

## AcTlH6Pt2 (GGA-PBE)

Data for an optimized crystal structure of AcTlH6Pt2. Values from VASP.

Output
DOS(E_F): 1.9 states/eV/f.u.
Energy: -4.14 eV/atom

```
&SYSTEM
  ibrav = 0, nat = 20, ntyp = 4
/
ATOMIC_SPECIES
Ac 227.00 Ac.upf
Tl 204.38 Tl.upf
H 1.01 H.upf
Pt 195.08 Pt.upf
ATOMIC_POSITIONS crystal
Ac 0.149 0.851 0.250
Ac 0.851 0.149 0.750
Tl 0.573 0.427 0.250
Tl 0.427 0.573 0.750
H 0.909 0.281 0.196
H 0.719 0.091 0.304
H 0.091 0.719 0.804
H 0.281 0.909 0.696
H 0.194 0.100 0.047
H 0.900 0.806 0.453
H 0.806 0.900 0.953
H 0.100 0.194 0.547
H 0.144 0.562 0.410
H 0.438 0.856 0.090
H 0.856 0.438 0.590
H 0.562 0.144 0.910
Pt 0.332 0.161 0.724
Pt 0.839 0.668 0.776
Pt 0.668 0.839 0.276
Pt 0.161 0.332 0.224
CELL_PARAMETERS angstrom
-0.895 6.537 -0.458
-5.994 -0.373 -2.770
-0.220 -2.133 6.860
```

---

## Ni2GeRhC (GGA-PBE)

Data for an optimized crystal structure of Ni2GeRhC. Values from VASP.

Output
ΔE to the lowest computed polymorph: 0 meV per atom
Energy of formation: 116.0 meV per atom
DOS(E_F): 8.9 states/eV/f.u.
Energy: -6.44 eV/atom

```
&SYSTEM
  ibrav = 0, nat = 5, ntyp = 4
/
ATOMIC_SPECIES
Ni 58.69 Ni.upf
Ge 72.64 Ge.upf
Rh 102.91 Rh.upf
C 12.01 C.upf
ATOMIC_POSITIONS crystal
Ni 0.000 0.000 0.500
Ni 0.500 0.000 0.000
Ge 0.500 0.500 0.500
Rh 0.000 0.500 0.000
C 0.000 0.000 0.000
CELL_PARAMETERS angstrom
3.784 0.000 0.000
0.000 4.170 0.000
0.000 0.000 3.784
```

---

## GdDySc2 (GGA-PBE)

Data for an optimized crystal structure of GdDySc2. Values from VASP.

Output
ΔE to the lowest computed polymorph: 25 meV per atom
Energy of formation: 75.6 meV per atom
DOS(E_F): 5.4 states/eV/f.u.
Energy: -7.76 eV/atom

```
&SYSTEM
  ibrav = 0, nat = 4, ntyp = 3
/
ATOMIC_SPECIES
Sc 44.96 Sc.upf
Gd 157.25 Gd.upf
Dy 162.50 Dy.upf
ATOMIC_POSITIONS crystal
Sc 0.000 0.000 0.750
Sc 0.000 0.000 0.250
Gd 0.500 0.500 0.000
Dy 0.500 0.500 0.500
CELL_PARAMETERS angstrom
3.853 0.000 0.000
0.000 3.853 0.000
0.000 0.000 7.553
```